[1]
Below is an optimized crystal structure of BaReW4, with properties calculated at the PBE level.

Cell lengths 5.470, 5.470, 5.470 Å; angles 60.00, 60.00, 60.00 degrees
Fractional coordinates of all 6 atoms:
Ba 0.000 0.000 0.000
Re 0.750 0.750 0.750
W 0.376 0.376 0.376
W 0.376 0.376 0.873
W 0.376 0.873 0.376
W 0.873 0.376 0.376

Summary:
**Size of the total moment**: 0.0000 μB/atom
**Formation energy from the elements**: 1150 meV per atom
**Density**: 15.2 g/cm3
**Raw total energy**: -59.28 eV per cell

***

[2]
Below is an optimized crystal structure of BaRe2W, with properties calculated at the PBE level.

Cell lengths 4.891, 4.891, 3.197 Å; angles 90.00, 90.00, 90.00 degrees
Fractional coordinates of all 4 atoms:
Ba 0.000 0.000 0.000
Re 0.000 0.500 0.500
Re 0.500 0.000 0.500
W 0.500 0.500 0.000

Summary:
**Size of the total moment**: 0.0000 μB/atom
**Formation energy from the elements**: 1641 meV per atom
**Density**: 15.1 g/cm3
**Raw total energy**: -33.21 eV per cell
**ΔE to the lowest computed polymorph**: 895 meV per atom

***

[3]
Below is an optimized crystal structure of BaRe2W, with properties calculated at the PBE level.

Cell lengths 3.150, 4.882, 4.887 Å; angles 90.00, 90.00, 90.00 degrees
Fractional coordinates of all 4 atoms:
Ba 0.000 0.000 0.000
Re 0.000 0.500 0.500
Re 0.500 0.500 0.000
W 0.500 0.000 0.500

Summary:
**Size of the total moment**: 0.0000 μB/atom
**Formation energy from the elements**: 1675 meV per atom
**Density**: 15.3 g/cm3
**Raw total energy**: -33.07 eV per cell
**ΔE to the lowest computed polymorph**: 930 meV per atom

***

Values for N(E_F), states/eV/cell, ordered as above
5.934, 4.936, 4.213